Here is a geometry-optimized MgCu3Ge structure from Alexandria. Energies are from PBE.

The structure belongs to space group Pm-3m (No. 221); the cell edges are 4.566, 4.566 and 4.566 Å and the angles 90.00°, 90.00° and 90.00°. The inequivalent atoms are Mg at (0.000, 0.000, 0.000), Cu at (0.000, 0.000, 0.500) and Ge at (0.500, 0.500, 0.500).

The magnetic moment comes out at 0.000 μB per atom. The value obtained for the formation energy is 476.0 kJ/mol of formula units. Its density of states at the Fermi level is 0.4594 states/eV per atom. The value obtained for the electronic total energy is -13.6 eV per cell.